(1)
Material: MgCrPt
Method: DFT, PBE
State: relaxed

a b c (Å): 5.6384 4.0787 8.4044
angles (deg): 90.00 90.00 90.00
With the nearest neighbours (Å) after each atom.
Element x y z (fractional)
1 Mg 0.8460 0.2500 0.4208  5 Pt 2.73-2.83, 5 Cr 2.82-2.91, 2 Mg 2.99
2 Pt 0.1553 0.7500 0.9057  5 Mg 2.73-2.83, 5 Cr 2.75-2.86
3 Pt 0.6553 0.7500 0.5943  5 Mg 2.73-2.83, 5 Cr 2.75-2.86
4 Cr 0.4082 0.2500 0.7371  5 Pt 2.75-2.86, 5 Mg 2.82-2.91, 2 Cr 2.83
5 Mg 0.6540 0.7500 0.9208  5 Pt 2.73-2.83, 5 Cr 2.82-2.91, 2 Mg 2.99
6 Cr 0.5918 0.7500 0.2629  5 Pt 2.75-2.86, 5 Mg 2.82-2.91, 2 Cr 2.83
7 Mg 0.1540 0.7500 0.5792  5 Pt 2.73-2.83, 5 Cr 2.82-2.91, 2 Mg 2.99
8 Mg 0.3460 0.2500 0.0792  5 Pt 2.73-2.83, 5 Cr 2.82-2.91, 2 Mg 2.99
9 Pt 0.3447 0.2500 0.4057  5 Mg 2.73-2.83, 5 Cr 2.75-2.86
10 Cr 0.9082 0.2500 0.7629  5 Pt 2.75-2.86, 5 Mg 2.82-2.91, 2 Cr 2.83
11 Cr 0.0918 0.7500 0.2371  5 Pt 2.75-2.86, 5 Mg 2.82-2.91, 2 Cr 2.83
12 Pt 0.8447 0.2500 0.0943  5 Mg 2.73-2.83, 5 Cr 2.75-2.86

DFT total energy, eV/atom: -5.942
Formation energy, eV/atom: -0.189
Crystal system: orthorhombic

=====

(2)
Material: Mg2CrPt
Method: DFT, PBE
State: relaxed

a b c (Å): 4.8206 4.8206 4.8206
angles (deg): 128.35 128.34 76.06
With the nearest neighbours (Å) after each atom.
Element x y z (fractional)
1 Cr 0.2500 0.7500 0.5000  8 Mg 2.83, 4 Pt 2.97
2 Pt 0.7500 0.2500 0.5000  8 Mg 2.83, 4 Cr 2.97
3 Mg 0.9999 0.9999 0.0000  4 Pt 2.83, 4 Cr 2.83, 4 Mg 2.97
4 Mg 0.5001 0.5001 0.0000  4 Pt 2.83, 4 Cr 2.83, 4 Mg 2.97

DFT total energy, eV/atom: -4.985
Formation energy, eV/atom: -0.271
Crystal system: tetragonal

=====

(3)
Material: Mg2CrPt
Method: DFT, PBE
State: relaxed

a b c (Å): 4.9550 4.9550 4.1311
angles (deg): 65.36 65.36 48.57
With the nearest neighbours (Å) after each atom.
Element x y z (fractional)
1 Pt 0.5001 0.5001 0.5000  4 Cr 2.86-2.89, 8 Mg 2.86-2.90
2 Mg 0.9999 0.9999 0.0001  4 Cr 2.87-2.88, 4 Mg 2.87-2.88, 4 Pt 2.90
3 Cr 0.2491 0.2491 0.2507  4 Pt 2.86-2.89, 8 Mg 2.87-2.90
4 Mg 0.7508 0.7508 0.7492  4 Pt 2.86-2.89, 4 Mg 2.87-2.88, 4 Cr 2.90

DFT total energy, eV/atom: -4.921
Formation energy, eV/atom: -0.208
Crystal system: orthorhombic

=====

(4)
Material: MgCr2Pt2
Method: DFT, PBE
State: relaxed

a b c (Å): 7.4885 7.4885 2.8882
angles (deg): 90.00 90.00 90.00
With the nearest neighbours (Å) after each atom.
Element x y z (fractional)
1 Pt 0.8603 0.6397 0.0000  6 Cr 2.59-2.66, 2 Pt 2.89, 2 Mg 2.89
2 Cr 0.1575 0.6575 0.5000  6 Pt 2.59-2.66, 2 Cr 2.89
3 Mg 0.5000 0.5000 0.0000  2 Mg 2.89, 4 Pt 2.89, 8 Cr 3.17
4 Cr 0.6575 0.8425 0.5000  6 Pt 2.59-2.66, 2 Cr 2.89
5 Pt 0.6397 0.1397 0.0000  6 Cr 2.59-2.66, 2 Pt 2.89, 2 Mg 2.89
6 Cr 0.3425 0.1575 0.5000  6 Pt 2.59-2.66, 2 Cr 2.89
7 Cr 0.8425 0.3425 0.5000  6 Pt 2.59-2.66, 2 Cr 2.89
8 Pt 0.1397 0.3603 0.0000  6 Cr 2.59-2.66, 2 Pt 2.89, 2 Mg 2.89
9 Mg 0.0000 0.0000 0.0000  2 Mg 2.89, 4 Pt 2.89, 8 Cr 3.17
10 Pt 0.3603 0.8603 0.0000  6 Cr 2.59-2.66, 2 Pt 2.89, 2 Mg 2.89

DFT total energy, eV/atom: -6.709
Formation energy, eV/atom: -0.125
Crystal system: tetragonal

=====

(5)
Material: MgCrPt
Method: DFT, PBE
State: relaxed

a b c (Å): 4.3147 5.0805 5.3288
angles (deg): 109.88 113.86 64.92
With the nearest neighbours (Å) after each atom.
Element x y z (fractional)
1 Pt 0.7098 0.3638 0.8390  3 Cr 2.55-2.57, 1 Mg 2.66, 1 Pt 2.69
2 Mg 0.0018 0.7870 0.8456  5 Pt 2.66-2.94, 4 Cr 2.79-2.91, 1 Mg 2.89
3 Mg 0.0577 0.2492 0.4204  5 Pt 2.66-2.94, 4 Cr 2.79-2.91, 1 Mg 2.89
4 Pt 0.3497 0.6724 0.4269  3 Cr 2.55-2.57, 1 Mg 2.66, 1 Pt 2.69
5 Cr 0.3981 0.1980 0.0493  1 Cr 1.99
6 Cr 0.6614 0.8382 0.2167  1 Cr 1.99

DFT total energy, eV/atom: -5.911
Formation energy, eV/atom: -0.158
Crystal system: monoclinic

=====

(6)
Material: MgCrPt
Method: DFT, PBE
State: relaxed

a b c (Å): 4.7498 4.7498 9.2942
angles (deg): 90.00 90.00 120.00
With the nearest neighbours (Å) after each atom.
Element x y z (fractional)
1 Pt 0.0000 0.0000 0.5000  2 Cr 2.32
2 Mg 0.3333 0.6667 0.2500  3 Cr 2.74
3 Cr 0.0000 0.0000 0.7500  2 Pt 2.32
4 Cr 0.0000 0.0000 0.2500  2 Pt 2.32
5 Pt 0.0000 0.0000 0.0000  2 Cr 2.32
6 Mg 0.6667 0.3333 0.7500  3 Cr 2.74

DFT total energy, eV/atom: -4.505
Formation energy, eV/atom: 1.248
Crystal system: hexagonal

=====

(7)
Material: MgCrPt
Method: DFT, PBE
State: relaxed

a b c (Å): 4.6628 7.1674 2.7790
angles (deg): 90.00 90.00 90.00
With the nearest neighbours (Å) after each atom.
Element x y z (fractional)
1 Cr 0.2343 0.6831 0.9011  1 Cr 1.92
2 Cr 0.8235 0.6831 0.9011  1 Cr 1.92
3 Mg 0.5288 0.0616 0.9012  4 Mg 2.78-2.95, 6 Pt 2.78-2.93, 2 Cr 3.04
4 Mg 0.0289 0.3139 0.9013  4 Mg 2.78-2.95, 6 Pt 2.79-2.82, 2 Cr 2.81
5 Pt 0.5289 0.4219 0.4011  4 Cr 2.71, 2 Pt 2.78, 6 Mg 2.82-2.93
6 Pt 0.0288 0.9758 0.4011  4 Cr 2.69, 2 Pt 2.78, 6 Mg 2.78-2.79

DFT total energy, eV/atom: -5.996
Formation energy, eV/atom: -0.244
Crystal system: orthorhombic

=====

(8)
Material: MgCrPt
Method: DFT, PBE
State: relaxed

a b c (Å): 3.0978 7.4644 4.5025
angles (deg): 72.43 90.02 114.50
With the nearest neighbours (Å) after each atom.
Element x y z (fractional)
1 Pt 0.1482 0.5262 0.9093  4 Mg 2.67-2.68, 6 Cr 2.74-2.84
2 Cr 0.6817 0.5599 0.3925  2 Cr 2.17
3 Pt 0.8281 0.2059 0.5694  6 Mg 2.67-2.74, 2 Cr 2.75
4 Cr 0.4198 0.7975 0.2736  2 Cr 2.17
5 Mg 0.9883 0.8660 0.7393  4 Pt 2.67, 6 Cr 2.77-2.99
6 Mg 0.3061 0.1840 0.0804  6 Pt 2.68-2.74, 2 Cr 2.92

DFT total energy, eV/atom: -5.976
Formation energy, eV/atom: -0.223
Crystal system: orthorhombic

=====

Q: DFT total energy of number 2 (Mg2CrPt)?
A: -4.985 eV/atom